# Nd3SbH3

Nd3SbH3 after structural relaxation (GGA-PBE, Alexandria via LeMat-Bulk).

Cell: 6.480 6.480 6.480 Å, 90.00 90.00 90.00°
Space group Pm-3n (No. 223)
Inequivalent atoms, fractional coordinates:
Nd 0.000 0.250 0.500 x6
Sb 0.000 0.000 0.000 x2
H 0.000 0.500 0.250 x6

Calculated values
Final energy (Ry per atom): -0.3443
Offset from the most stable computed form (eV per atom): 0.050
Magnetic moment (μB/f.u.): 0.00

# Pm8Si2Ge3

Pm8Si2Ge3 after structural relaxation (GGA-PBE, Alexandria via LeMat-Bulk).

Cell: 15.309 8.197 7.181 Å, 90.00 108.10 90.00°
Space group C2/m (No. 12)
Inequivalent atoms, fractional coordinates:
Pm 0.102 0.000 0.355 x4
Pm 0.116 0.500 0.421 x4
Pm 0.119 0.253 0.905 x8
Si 0.248 0.000 0.164 x4
Ge 0.000 0.241 0.500 x4
Ge 0.000 0.500 0.000 x2

Calculated values
Formation energy (no corrections) (eV/atom): -0.42
Final energy (Ry per atom): -0.3850
Magnetic moment (μB/f.u.): 0.00

# NbRhPb2

NbRhPb2 after structural relaxation (GGA-PBE, Alexandria via LeMat-Bulk).

Cell: 7.664 7.664 6.102 Å, 90.00 90.00 90.00°
Space group I-42d (No. 122)
Inequivalent atoms, fractional coordinates:
Nb 0.000 0.000 0.000 x4
Rh 0.000 0.000 0.500 x4
Pb 0.224 0.250 0.625 x8

Calculated values
Final energy (Ry per atom): -0.4163
Offset from the most stable computed form (eV per atom): 0.189
Magnetic moment (μB/f.u.): 0.00
Energy relative to the elements (meV per atom): 545

# TiSn4Mo

TiSn4Mo after structural relaxation (GGA-PBE, Alexandria via LeMat-Bulk).

Cell: 6.850 6.850 11.217 Å, 90.00 90.00 90.00°
Space group I4/mcm (No. 140)
Inequivalent atoms, fractional coordinates:
Ti 0.000 0.000 0.000 x4
Sn 0.156 0.344 0.135 x16
Mo 0.000 0.000 0.250 x4

Calculated values
Final energy (Ry per atom): -0.4346
Magnetic moment (μB/f.u.): 0.22
Energy relative to the elements (meV per atom): -123

# KPm2O

KPm2O after structural relaxation (GGA-PBE, Alexandria via LeMat-Bulk).

Cell: 3.7082 3.7082 30.8565 Å, 90.00 90.00 120.00°
Space group R-3m (No. 166, hexagonal axes)
Inequivalent atoms, fractional coordinates:
K 0.0000 0.0000 0.0000 x3
Pm 0.0000 0.0000 0.1241 x6
O 0.0000 0.0000 0.5000 x3

Calculated values
Formation energy (no corrections) (eV/atom): -1.06
Final energy (Ry per atom): -0.3640
Magnetic moment (μB/f.u.): 1.03

# CsInO2

CsInO2 after structural relaxation (GGA-PBE, Alexandria via LeMat-Bulk).

Cell: 3.4834 3.4834 7.0932 Å, 90.00 90.00 120.00°
Space group P3m1 (No. 156)
Inequivalent atoms, fractional coordinates:
Cs 0.0000 0.0000 0.0000 x1
In 0.6667 0.3333 0.5399 x1
O 0.0000 0.0000 0.3999 x1
O 0.3333 0.6667 0.7092 x1

Calculated values
Formation energy (no corrections) (eV/atom): -1.32
Final energy (Ry per atom): -0.3453
Magnetic moment (μB/f.u.): 0.00

# Tb8Dy3Th2

Tb8Dy3Th2 after structural relaxation (GGA-PBE, Alexandria via LeMat-Bulk).

Cell: 6.148 7.672 18.626 Å, 85.97 81.01 77.47°
Space group P-1 (No. 2)
Inequivalent atoms, fractional coordinates:
Tb 0.000 0.019 0.322 x2
Tb 0.112 0.555 0.076 x2
Tb 0.114 0.532 0.739 x2
Tb 0.232 0.095 0.815 x2
Tb 0.335 0.660 0.887 x2
Tb 0.368 0.647 0.561 x2
Tb 0.447 0.217 0.963 x2
Tb 0.449 0.180 0.614 x2
Dy 0.000 0.000 0.000 x1
Dy 0.000 0.000 0.500 x1
Dy 0.333 0.684 0.226 x2
Dy 0.430 0.243 0.291 x2
Th 0.090 0.568 0.414 x2
Th 0.220 0.120 0.147 x2

Calculated values
Final energy (Ry per atom): -0.3630
Offset from the most stable computed form (eV per atom): 0.000
Magnetic moment (μB/f.u.): 0.00
Energy relative to the elements (meV per atom): 114

# SrLa2YTc

SrLa2YTc after structural relaxation (GGA-PBE, Alexandria via LeMat-Bulk).

Cell: 5.558 5.558 5.735 Å, 90.00 90.00 90.00°
Space group P4/mmm (No. 123)
Inequivalent atoms, fractional coordinates:
Sr 0.000 0.000 0.000 x1
La 0.000 0.500 0.500 x2
Y 0.500 0.500 0.000 x1
Tc 0.500 0.500 0.500 x1

Calculated values
Final energy (Ry per atom): -0.4162
Magnetic moment (μB/f.u.): 0.00
Energy relative to the elements (meV per atom): 11

# Dy3ZnP2Rh9

Dy3ZnP2Rh9 after structural relaxation (GGA-PBE, Alexandria via LeMat-Bulk).

Cell: 6.1807 6.1807 8.1231 Å, 90.00 90.00 120.00°
Space group P-3m1 (No. 164)
Inequivalent atoms, fractional coordinates:
Dy 0.0000 0.0000 0.0000 x1
Dy 0.3333 0.6667 0.6522 x2
Zn 0.0000 0.0000 0.5000 x1
P 0.3333 0.6667 0.1643 x2
Rh 0.0000 0.5000 0.0000 x3
Rh 0.1631 0.3263 0.3052 x6

Calculated values
Final energy (Ry per atom): -0.4945
Magnetic moment (μB/f.u.): 0.00
Energy relative to the elements (meV per atom): -591

# LaBi3Br

LaBi3Br after structural relaxation (GGA-PBE, Alexandria via LeMat-Bulk).

Cell: 5.663 5.663 5.663 Å, 90.00 90.00 90.00°
Space group Pm-3m (No. 221)
Inequivalent atoms, fractional coordinates:
La 0.000 0.000 0.000 x1
Bi 0.000 0.500 0.500 x3
Br 0.500 0.500 0.500 x1

Calculated values
Formation energy (no corrections) (eV/atom): 0.14
Final energy (Ry per atom): -0.2577
Offset from the most stable computed form (eV per atom): 0.000
Magnetic moment (μB/f.u.): 0.00

# Zr4SnPb

Zr4SnPb after structural relaxation (GGA-PBE, Alexandria via LeMat-Bulk).

Cell: 7.983 13.003 5.853 Å, 90.00 110.74 90.00°
Space group C2/c (No. 15)
Inequivalent atoms, fractional coordinates:
Zr 0.091 0.195 0.054 x8
Zr 0.199 0.395 0.361 x8
Sn 0.000 0.003 0.750 x4
Pb 0.000 0.394 0.750 x4

Calculated values
Final energy (Ry per atom): -0.5323
Magnetic moment (μB/f.u.): 0.00
Energy relative to the elements (meV per atom): -258

# CsKZrS3

CsKZrS3 after structural relaxation (GGA-PBE, Alexandria via LeMat-Bulk).

Cell: 7.666 14.916 7.028 Å, 90.00 100.47 90.00°
Space group C2/c (No. 15)
Inequivalent atoms, fractional coordinates:
Cs 0.000 0.250 0.250 x4
K 0.000 0.084 0.750 x4
Zr 0.000 0.451 0.750 x4
S 0.000 0.291 0.750 x4
S 0.213 0.464 0.499 x8

Calculated values
Formation energy (no corrections) (eV/atom): -1.48
Final energy (Ry per atom): -0.3894
Magnetic moment (μB/f.u.): 0.00

- Which value of magnetic moment does entry 3 give?
  0.00 μB/f.u.